## MnAs2Rh (PBE)

Data for a geometry-optimized MnAs2Rh structure.

Values from the calculation:
Relative energy among the computed polymorphs, kJ/mol of formula units: 71.7
VASP energy, Ry per atom: -0.4784
Formation enthalpy at 0 K, eV/atom: -0.054
Mass density, g cm⁻³: 8.89
Total magnetization, μB per cell: 0.44

abc: 7.696 7.696 7.696
angles: 22.28 22.28 22.28
Site moments in Bohr magnetons follow the coordinates.
Element x y z (fractional)
As 0.994 0.994 0.994  -0.02
As 0.506 0.506 0.506  -0.02
Mn 0.250 0.250 0.250  0.52
Rh 0.750 0.750 0.750  -0.03